Te2PtBrN: relaxed, GGA-PBE.

The structure in POSCAR format:
```
Te2PtBrN
1.0
5.7616 0.0000 0.0000
0.0000 5.7616 0.0000
0.0000 0.0000 3.6599
Te N Pt Br
2 1 1 1
direct
0.5000 0.0000 0.0000
0.0000 0.5000 0.0000
0.0000 0.0000 0.5000
0.0000 0.0000 0.0000
0.5000 0.5000 0.5000
```

Summary:
Calculated volume ... 121.5 Å³/f.u.
Space group ... P4/mmm
Density of states at the Fermi level ... 3.770 states/eV per cell
Theoretical density ... 7.438 g cm⁻³
Total energy ... -19.7 eV per cell
M_tot ... 0.00 μB per formula unit
Energy above the lowest structure with this stoichiometry ... 0.0000 eV/atom

---

ReMo: relaxed, GGA-PBE.

The structure in POSCAR format:
```
ReMo
1.0
3.9308 -0.7942 -3.2809
5.0791 0.6823 -0.7637
2.9483 -5.3005 1.7640
Re Mo
3 3
direct
0.0280 0.0280 0.4439
0.6972 0.6972 0.6140
0.6927 0.6927 0.1074
0.3583 0.3583 0.2782
0.3641 0.3641 0.7778
0.0263 0.0263 0.9454
```

Summary:
Calculated volume ... 30.9 Å³/f.u.
Space group ... Cm
Density of states at the Fermi level ... 5.085 states/eV per cell
Theoretical density ... 15.170 g cm⁻³
Total energy ... -69.2 eV per cell
M_tot ... 0.00 μB per formula unit
Energy above the lowest structure with this stoichiometry ... 0.0140 eV/atom

---

LiTb2As3Rh4: relaxed, GGA-PBE.

The structure in POSCAR format:
```
LiTb2As3Rh4
1.0
4.0930 0.0000 0.0000
0.0000 4.0930 0.0000
0.0000 0.0000 10.3996
Li As Tb Rh
1 3 2 4
direct
0.5000 0.5000 0.5000
0.5000 0.0000 0.8611
0.0000 0.0000 0.5000
0.0000 0.5000 0.1389
0.0000 0.5000 0.7472
0.5000 0.0000 0.2528
0.0000 0.0000 0.0000
0.0000 0.5000 0.3665
0.5000 0.0000 0.6335
0.5000 0.5000 0.0000
```

Summary:
Calculated volume ... 174.2 Å³/f.u.
Space group ... P-4m2
Density of states at the Fermi level ... 2.550 states/eV per cell
Theoretical density ... 9.161 g cm⁻³
Total energy ... -63.5 eV per cell
M_tot ... 0.00 μB per formula unit

---

Ca3Ge2N4: relaxed, GGA-PBE.

The structure in POSCAR format:
```
Ca3Ge2N4
1.0
5.3261 0.0658 0.0471
0.3185 7.3580 -1.1750
0.3185 1.2585 7.3442
Ca N Ge
6 8 4
direct
0.0333 0.0122 0.7703
0.5333 0.7703 0.0122
0.2500 0.6025 0.3975
0.4667 0.2297 0.9878
0.9667 0.9878 0.2297
0.7500 0.3975 0.6025
0.4339 0.5983 0.7210
0.5452 0.0045 0.7712
0.9339 0.7210 0.5983
0.0661 0.2790 0.4017
0.9548 0.2288 0.9955
0.0452 0.7712 0.0045
0.5661 0.4017 0.2790
0.4548 0.9955 0.2288
0.5957 0.8132 0.6149
0.0957 0.6149 0.8132
0.4043 0.1868 0.3851
0.9043 0.3851 0.1868
```

Summary:
Calculated volume ... 147.7 Å³/f.u.
Space group ... C2/c
Density of states at the Fermi level ... 6.870 states/eV per cell
Theoretical density ... 3.615 g cm⁻³
Total energy ... -104.8 eV per cell
M_tot ... 0.00 μB per formula unit

---

FeHgB2Sb: relaxed, GGA-PBE.

The structure in POSCAR format:
```
FeHgB2Sb
1.0
-2.3648 0.1893 3.1788
4.1578 -0.3777 3.1156
0.3437 3.9515 0.0204
Sb B Hg Fe
1 2 1 1
direct
0.5000 0.5000 0.5000
0.5000 0.0000 0.0000
0.0000 0.0000 0.5000
0.0000 0.5000 0.0000
0.0000 0.0000 0.0000
```

Summary:
Calculated volume ... 82.0 Å³/f.u.
Space group ... P4/mmm
Density of states at the Fermi level ... 3.057 states/eV per cell
Theoretical density ... 8.101 g cm⁻³
Total energy ... -21.1 eV per cell
M_tot ... 0.00 μB per formula unit

---

Lu2ZrPb: relaxed, GGA-PBE.

The structure in POSCAR format:
```
Lu2ZrPb
1.0
-1.8504 4.0520 1.1569
-0.7354 -1.5825 4.3663
4.2420 1.5706 1.2837
Lu Zr Pb
2 1 1
direct
0.0000 0.5000 0.0000
0.0000 0.0000 0.5000
0.5000 0.5000 0.5000
0.5000 0.0000 0.0000
```

Summary:
Calculated volume ... 101.8 Å³/f.u.
Space group ... P4/mmm
Density of states at the Fermi level ... 5.581 states/eV per cell
Theoretical density ... 10.581 g cm⁻³
Total energy ... -21.9 eV per cell
M_tot ... 0.01 μB per formula unit
Energy above the lowest structure with this stoichiometry ... 0.0108 eV/atom

---

FeSi3Pb: relaxed, GGA-PBE.

The structure in POSCAR format:
```
FeSi3Pb
1.0
4.5112 0.0000 0.0000
0.0000 4.5112 0.0000
0.0000 0.0000 4.5112
Si Fe Pb
3 1 1
direct
0.5000 0.0000 0.0000
0.0000 0.0000 0.5000
0.0000 0.5000 0.0000
0.0000 0.0000 0.0000
0.5000 0.5000 0.5000
```

Summary:
Calculated volume ... 91.8 Å³/f.u.
Space group ... Pm-3m
Density of states at the Fermi level ... 5.232 states/eV per cell
Theoretical density ... 6.282 g cm⁻³
Total energy ... -26.5 eV per cell
M_tot ... 0.00 μB per formula unit
Energy above the lowest structure with this stoichiometry ... 0.0000 eV/atom

---

InHgB: relaxed, GGA-PBE.

The structure in POSCAR format:
```
InHgB
1.0
-10.2012 -7.4010 3.5491
1.2510 -2.4752 -1.5659
3.0190 -1.7091 5.1136
In Hg B
4 4 4
direct
0.6686 0.7500 0.7124
0.3314 0.2500 0.2876
0.1686 0.7500 0.7876
0.8314 0.2500 0.2124
0.5966 0.2500 0.1320
0.0966 0.2500 0.3680
0.9034 0.7500 0.6320
0.4034 0.7500 0.8680
0.5000 0.5000 0.5000
0.0000 0.0000 0.0000
0.5000 0.0000 0.5000
0.0000 0.5000 0.0000
```

Summary:
Calculated volume ... 64.4 Å³/f.u.
Space group ... Pnma
Density of states at the Fermi level ... 4.085 states/eV per cell
Theoretical density ... 8.409 g cm⁻³
Total energy ... -35.1 eV per cell
M_tot ... 0.00 μB per formula unit

---

TbZrPd: relaxed, GGA-PBE.

The structure in POSCAR format:
```
TbZrPd
1.0
3.4584 0.0000 0.0000
0.0000 3.4584 0.0000
-1.7292 -1.7292 5.6649
Pd Zr Tb
1 1 1
direct
0.6784 0.6784 0.3567
0.3114 0.3114 0.6229
0.0102 0.0102 0.0204
```

Summary:
Calculated volume ... 67.8 Å³/f.u.
Space group ... I4mm
Density of states at the Fermi level ... 3.531 states/eV per cell
Theoretical density ... 8.739 g cm⁻³
Total energy ... -19.6 eV per cell
M_tot ... 0.00 μB per formula unit
Energy above the lowest structure with this stoichiometry ... 0.0324 eV/atom

---

Sr2LaTl: relaxed, GGA-PBE.

The structure in POSCAR format:
```
Sr2LaTl
1.0
3.8889 0.0000 0.0000
0.0000 5.3495 0.0000
0.0000 0.0000 7.3765
Sr Tl La
2 1 1
direct
0.0000 0.0000 0.0156
0.0000 0.0000 0.4844
0.5000 0.5000 0.2500
0.5000 0.5000 0.7500
```

Summary:
Calculated volume ... 153.5 Å³/f.u.
Space group ... Pmmm
Density of states at the Fermi level ... 4.421 states/eV per cell
Theoretical density ... 5.611 g cm⁻³
Total energy ... -10.9 eV per cell
M_tot ... 0.00 μB per formula unit
Energy above the lowest structure with this stoichiometry ... 0.1013 eV/atom

---

TmHfZr2: relaxed, GGA-PBE.

The structure in POSCAR format:
```
TmHfZr2
1.0
-1.1944 -0.2877 -2.9634
2.2791 -7.2592 1.5225
-7.4643 -0.7038 3.0769
Zr Tm Hf
4 2 2
direct
0.0360 0.0719 0.2118
0.9640 0.9281 0.7882
0.2682 0.5363 0.6725
0.7318 0.4637 0.3275
0.3509 0.7018 0.0599
0.6491 0.2982 0.9401
0.5939 0.1877 0.5551
0.4061 0.8123 0.4449
```

Summary:
Calculated volume ... 98.0 Å³/f.u.
Space group ... C2/m
Density of states at the Fermi level ... 10.359 states/eV per cell
Theoretical density ... 8.978 g cm⁻³
Total energy ... -62.3 eV per cell
M_tot ... 0.00 μB per formula unit
Energy above the lowest structure with this stoichiometry ... 0.0193 eV/atom

---

BaCoP2: relaxed, GGA-PBE.

The structure in POSCAR format:
```
BaCoP2
1.0
-2.4991 -1.3955 -3.9382
-0.3643 -4.7280 -1.1027
-4.2622 -2.2970 0.5094
Ba P Co
1 2 1
direct
0.5000 0.5000 0.5000
0.7500 0.7500 0.7500
0.0000 0.0000 0.0000
0.2500 0.2500 0.2500
```

Summary:
Calculated volume ... 81.6 Å³/f.u.
Space group ... F-43m
Density of states at the Fermi level ... 5.097 states/eV per cell
Theoretical density ... 5.255 g cm⁻³
Total energy ... -17.5 eV per cell
M_tot ... 1.48 μB per formula unit
Energy above the lowest structure with this stoichiometry ... 1.1901 eV/atom

---

GdPaOs: relaxed, GGA-PBE.

The structure in POSCAR format:
```
GdPaOs
1.0
-2.3946 -1.9836 3.6346
1.2237 -4.3449 1.5825
2.1037 -0.4859 4.2683
Os Gd Pa
1 1 1
direct
0.2500 0.2500 0.2500
0.5000 0.5000 0.5000
0.0000 0.0000 0.0000
```

Summary:
Calculated volume ... 77.4 Å³/f.u.
Space group ... F-43m
Density of states at the Fermi level ... 6.099 states/eV per cell
Theoretical density ... 12.414 g cm⁻³
Total energy ... -34.8 eV per cell
M_tot ... 7.78 μB per formula unit
Energy above the lowest structure with this stoichiometry ... 0.1915 eV/atom

---

CaSc2P: relaxed, GGA-PBE.

The structure in POSCAR format:
```
CaSc2P
1.0
-6.0900 3.2081 6.2100
-5.2057 -0.0794 7.6706
-3.0366 2.8613 8.2786
Sc Ca P
2 1 1
direct
0.2583 0.2583 0.2583
0.0238 0.0238 0.0238
0.4759 0.4759 0.4759
0.7420 0.7420 0.7420
```

Summary:
Calculated volume ... 107.2 Å³/f.u.
Space group ... R3m
Density of states at the Fermi level ... 4.711 states/eV per cell
Theoretical density ... 2.493 g cm⁻³
Total energy ... -21.9 eV per cell
M_tot ... 1.04 μB per formula unit

---

NbTcP2: relaxed, GGA-PBE.

The structure in POSCAR format:
```
NbTcP2
1.0
2.7383 -3.3001 0.0907
1.8816 -1.1248 3.6867
-1.1119 -3.6565 1.9470
P Nb Tc
2 1 1
direct
0.2500 0.2500 0.2500
0.7500 0.7500 0.7500
0.0000 0.0000 0.0000
0.5000 0.5000 0.5000
```

Summary:
Calculated volume ... 55.8 Å³/f.u.
Space group ... Fm-3m
Density of states at the Fermi level ... 3.659 states/eV per cell
Theoretical density ... 7.525 g cm⁻³
Total energy ... -33.0 eV per cell
M_tot ... 0.00 μB per formula unit
Energy above the lowest structure with this stoichiometry ... 0.0883 eV/atom

---

LiAcZnAu: relaxed, GGA-PBE.

The structure in POSCAR format:
```
LiAcZnAu
1.0
-4.3433 1.4588 0.4183
1.0520 -4.3770 0.8860
1.6545 3.6968 4.2867
Zn Ac Li Au
1 1 1 1
direct
0.8217 0.6435 0.1068
0.6183 0.2366 0.4966
0.1100 0.2201 0.9726
0.4162 0.8324 0.8914
```

Summary:
Calculated volume ... 95.9 Å³/f.u.
Space group ... Cm
Density of states at the Fermi level ... 2.728 states/eV per cell
Theoretical density ... 8.591 g cm⁻³
Total energy ... -12.5 eV per cell
M_tot ... 0.00 μB per formula unit
Energy above the lowest structure with this stoichiometry ... 0.0000 eV/atom

---

K2LaCl: relaxed, GGA-PBE.

The structure in POSCAR format:
```
K2LaCl
1.0
12.0179 -0.0061 -0.0036
11.3597 3.9227 -0.0036
11.3597 1.9032 3.4301
K La Cl
2 1 1
direct
0.0250 0.0250 0.0250
0.4750 0.4750 0.4750
0.2500 0.2500 0.2500
0.7500 0.7500 0.7500
```

Summary:
Calculated volume ... 162.1 Å³/f.u.
Space group ... R-3m
Density of states at the Fermi level ... 4.613 states/eV per cell
Theoretical density ... 2.587 g cm⁻³
Total energy ... -11.7 eV per cell
M_tot ... 0.00 μB per formula unit
Energy above the lowest structure with this stoichiometry ... 0.0000 eV/atom

---

SmPaPtN3: relaxed, GGA-PBE.

The structure in POSCAR format:
```
SmPaPtN3
1.0
-1.6270 1.1366 2.8497
4.7808 -2.8119 3.8512
0.9604 8.8017 -2.9623
N Pt Pa Sm
6 2 2 2
direct
0.2500 0.0509 0.8687
0.7500 0.3402 0.6051
0.7500 0.4628 0.1055
0.2500 0.5372 0.8945
0.2500 0.6598 0.3949
0.7500 0.9491 0.1313
0.2500 0.1721 0.5223
0.7500 0.8279 0.4777
0.7500 0.2567 0.8323
0.2500 0.7433 0.1677
0.2500 0.2558 0.1819
0.7500 0.7442 0.8181
```

Summary:
Calculated volume ... 94.8 Å³/f.u.
Space group ... P2_1/m
Density of states at the Fermi level ... 3.269 states/eV per cell
Theoretical density ... 10.839 g cm⁻³
Total energy ... -102.3 eV per cell
M_tot ... 0.00 μB per formula unit

---

Be2SeCl2: relaxed, GGA-PBE.

The structure in POSCAR format:
```
Be2SeCl2
1.0
4.0430 0.0000 0.0000
0.0000 4.0430 0.0000
2.0215 2.0215 5.0582
Be Cl Se
2 2 1
direct
0.6357 0.6357 0.7287
0.3643 0.3643 0.2713
0.2500 0.7500 0.5000
0.7500 0.2500 0.5000
0.0000 0.0000 0.0000
```

Summary:
Calculated volume ... 82.7 Å³/f.u.
Space group ... I4/mmm
Density of states at the Fermi level ... 2.430 states/eV per cell
Theoretical density ... 3.372 g cm⁻³
Total energy ... -14.0 eV per cell
M_tot ... 0.00 μB per formula unit
Energy above the lowest structure with this stoichiometry ... 0.4537 eV/atom

---

GdAl4Ni: relaxed, GGA-PBE.

The structure in POSCAR format:
```
GdAl4Ni
1.0
-0.6013 -0.3667 -4.0214
6.4752 -1.1602 -0.8625
-0.9427 -7.4091 2.8890
Gd Ni Al
2 2 8
direct
0.3830 0.7500 0.7660
0.6170 0.2500 0.2340
0.2737 0.2500 0.5475
0.7263 0.7500 0.4525
0.4234 0.2500 0.8468
0.1891 0.9468 0.3783
0.8109 0.4468 0.6217
0.8109 0.0532 0.6217
0.5766 0.7500 0.1532
0.1891 0.5532 0.3783
0.0000 0.0000 0.0000
0.0000 0.5000 0.0000
```

Summary:
Calculated volume ... 104.9 Å³/f.u.
Space group ... Cmcm
Density of states at the Fermi level ... 4.741 states/eV per cell
Theoretical density ... 5.128 g cm⁻³
Total energy ... -76.3 eV per cell
M_tot ... 7.03 μB per formula unit